# Nb3P

Crystalline Nb3P at its relaxed geometry (PBE-GGA, the Alexandria database).

The density of states at the Fermi level comes out at 2.37 states/eV/f.u. The crystal system is monoclinic. Its formation energy is -455 meV/atom.

The structure belongs to space group P2_1/m (No. 11); the cell edges are 6.118, 3.448 and 6.695 Å and the angles 90.00°, 103.02° and 90.00°. The inequivalent atoms are Nb at (0.082, 0.250, 0.360), Nb at (0.251, 0.250, 0.923), Nb at (0.399, 0.750, 0.623) and P at (0.307, 0.750, 0.206).